CaZnHg | PBE | relaxed

Calculated values
* energy of formation from the pure elements: -0.39 eV per atom
* raw total energy: -1.58 eV/atom
* density: 7.2 g cm⁻³
* total magnetization: 0.00 Bohr magnetons per cell

a b c (Å): 5.939 5.939 7.361
angles (deg): 127.15 127.15 46.56
Fractional positions:
Ca 0.041 0.041 0.287
Ca 0.959 0.959 0.713
Zn 0.349 0.349 0.305
Zn 0.651 0.651 0.695
Hg 0.322 0.322 0.871
Hg 0.678 0.678 0.129

***

CaZnHg3 | PBE | relaxed

Calculated values
* energy of formation from the pure elements: -0.21 eV per atom
* raw total energy: -1.05 eV/atom
* density: 9.5 g cm⁻³
* energy above the lowest structure with this stoichiometry: 0.000 kcal/mol of atoms
* total magnetization: 0.00 Bohr magnetons per cell

a b c (Å): 6.962 6.962 6.962
angles (deg): 142.59 142.59 53.94
Fractional positions:
Ca 0.000 0.000 0.000
Zn 0.605 0.605 0.000
Hg 0.233 0.733 0.500
Hg 0.397 0.397 0.000
Hg 0.733 0.233 0.500

***

Ca2Zn15Hg2 | PBE | relaxed

Calculated values
* energy of formation from the pure elements: -0.15 eV per atom
* raw total energy: -1.40 eV/atom
* density: 7.3 g cm⁻³
* total magnetization: 0.00 Bohr magnetons per cell

a b c (Å): 6.957 6.957 6.957
angles (deg): 83.52 83.52 83.52
Fractional positions:
Ca 0.157 0.157 0.157
Ca 0.843 0.843 0.843
Zn 0.000 0.500 0.500
Zn 0.147 0.147 0.669
Zn 0.147 0.669 0.147
Zn 0.194 0.500 0.806
Zn 0.194 0.806 0.500
Zn 0.331 0.853 0.853
Zn 0.500 0.000 0.500
Zn 0.500 0.194 0.806
Zn 0.500 0.500 0.000
Zn 0.500 0.806 0.194
Zn 0.669 0.147 0.147
Zn 0.806 0.194 0.500
Zn 0.806 0.500 0.194
Zn 0.853 0.331 0.853
Zn 0.853 0.853 0.331
Hg 0.389 0.389 0.389
Hg 0.611 0.611 0.611

***

Ca2ZnHg8 | PBE | relaxed

Calculated values
* energy of formation from the pure elements: -0.25 eV per atom
* raw total energy: -0.95 eV/atom
* density: 10.4 g cm⁻³
* energy above the lowest structure with this stoichiometry: 0.463 kcal/mol of atoms
* total magnetization: 0.00 Bohr magnetons per cell

a b c (Å): 9.162 9.162 6.711
angles (deg): 110.41 110.41 32.06
Fractional positions:
Ca 0.204 0.204 0.199
Ca 0.796 0.796 0.801
Zn 0.500 0.500 0.500
Hg 0.003 0.003 0.233
Hg 0.171 0.171 0.673
Hg 0.370 0.370 0.637
Hg 0.378 0.378 0.101
Hg 0.622 0.622 0.899
Hg 0.630 0.630 0.363
Hg 0.829 0.829 0.327
Hg 0.997 0.997 0.767

***

Question: Look up the total magnetization of the third one.
Answer: 0.00 Bohr magnetons per cell